No. 1
Material: FeMoP3
Method: DFT, PBE
State: relaxed

```
FeMoP3
1.0
4.278 0.000 0.000
0.000 4.278 0.000
0.000 0.000 4.278
P Mo Fe
3 1 1
Direct
0.000 0.500 0.000 P
0.000 0.000 0.500 P
0.500 0.000 0.000 P
0.500 0.500 0.500 Mo
0.000 0.000 0.000 Fe
```

Properties
Distance to the lowest polymorph of the same formula in kJ per mole of atoms: 0.0
ΔE_f in meV per atom: 856
Crystal system: cubic
Space-group type: Pm-3m (221)

No. 2
Material: TbPm6Sm3Dy2
Method: DFT, PBE
State: relaxed

```
TbPm6Sm3Dy2
1.0
-0.621 -5.428 -3.086
-1.698 0.393 6.028
-10.120 4.783 -4.252
Tb Pm Sm Dy
1 6 3 2
Direct
0.000 0.000 0.000 Tb
0.917 0.584 0.752 Pm
0.750 0.750 0.248 Pm
0.083 0.416 0.248 Pm
0.584 0.917 0.752 Pm
0.250 0.250 0.752 Pm
0.416 0.083 0.248 Pm
0.167 0.833 0.500 Sm
0.833 0.167 0.500 Sm
0.500 0.500 0.500 Sm
0.333 0.667 0.000 Dy
0.667 0.333 0.000 Dy
```

Properties
ΔE_f in meV per atom: 13
Crystal system: monoclinic
Space-group type: C2/m (12)

No. 3
Material: SrIn3Hg4
Method: DFT, PBE
State: relaxed

```
SrIn3Hg4
1.0
-0.240 1.994 4.714
6.527 -4.519 2.244
6.253 7.594 -2.893
Sr Hg In
2 8 6
Direct
0.000 0.500 0.000 Sr
0.000 0.500 0.500 Sr
0.500 0.761 0.000 Hg
0.500 0.761 0.500 Hg
0.500 0.239 0.000 Hg
0.500 0.239 0.500 Hg
0.000 0.761 0.750 Hg
0.000 0.761 0.250 Hg
0.000 0.239 0.250 Hg
0.000 0.239 0.750 Hg
0.000 0.000 0.000 In
0.000 0.000 0.500 In
0.500 0.000 0.750 In
0.500 0.000 0.250 In
0.500 0.500 0.750 In
0.500 0.500 0.250 In
```

Properties
ΔE_f in meV per atom: -203
Crystal system: tetragonal
Space-group type: P4/mmm (123)

No. 4
Material: Li3ErPu2Te6
Method: DFT, PBE
State: relaxed

```
Li3ErPu2Te6
1.0
7.572 -0.001 0.002
-3.785 6.559 0.002
-1.262 -2.185 7.018
Li Er Pu Te
3 1 2 6
Direct
0.167 0.833 0.500 Li
0.833 0.167 0.500 Li
0.500 0.500 0.500 Li
0.000 0.000 0.000 Er
0.333 0.667 0.000 Pu
0.667 0.333 0.000 Pu
0.914 0.586 0.743 Te
0.757 0.757 0.256 Te
0.086 0.414 0.257 Te
0.586 0.914 0.743 Te
0.243 0.243 0.744 Te
0.414 0.086 0.257 Te
```

Properties
Crystal system: monoclinic
Space-group type: C2/m (12)
E_form (uncorrected) in kJ per mole of atoms: -105.55

No. 5
Material: SnS2N2
Method: DFT, PBE
State: relaxed

```
SnS2N2
1.0
-4.266 -2.102 1.754
2.416 -4.418 0.581
1.089 1.120 3.991
S Sn N
2 1 2
Direct
0.000 0.500 0.000 S
0.500 0.000 0.000 S
0.000 0.000 0.000 Sn
0.500 0.500 0.500 N
0.000 0.000 0.500 N
```

Properties
Distance to the lowest polymorph of the same formula in kJ per mole of atoms: 214.5
Crystal system: tetragonal
Space-group type: P4/mmm (123)
E_form (uncorrected) in kJ per mole of atoms: 192.86

No. 6
Material: Tb7PbI12
Method: DFT, PBE
State: relaxed

```
Tb7PbI12
1.0
-2.093 -6.481 -7.090
6.605 -4.081 6.031
-8.212 1.684 5.136
Tb Pb I
7 1 12
Direct
0.957 0.666 0.886 Tb
0.334 0.114 0.043 Tb
0.114 0.043 0.334 Tb
0.500 0.500 0.500 Tb
0.886 0.957 0.666 Tb
0.666 0.886 0.957 Tb
0.043 0.334 0.114 Tb
0.000 0.000 0.000 Pb
0.922 0.309 0.770 I
0.691 0.230 0.078 I
0.473 0.156 0.394 I
0.844 0.606 0.527 I
0.230 0.078 0.691 I
0.606 0.527 0.844 I
0.394 0.473 0.156 I
0.770 0.922 0.309 I
0.156 0.394 0.473 I
0.527 0.844 0.606 I
0.309 0.770 0.922 I
0.078 0.691 0.230 I
```

Properties
Crystal system: trigonal
Space-group type: R-3 (148)
E_form (uncorrected) in kJ per mole of atoms: -111.39

No. 7
Material: La12TbPm7
Method: DFT, PBE
State: relaxed

```
La12TbPm7
1.0
8.717 1.116 1.675
-1.352 8.684 1.675
-1.352 -1.799 8.659
La Tb Pm
12 1 7
Direct
0.854 0.258 0.720 La
0.742 0.280 0.146 La
0.606 0.143 0.485 La
0.857 0.515 0.394 La
0.280 0.146 0.742 La
0.515 0.394 0.857 La
0.485 0.606 0.143 La
0.720 0.854 0.258 La
0.143 0.485 0.606 La
0.394 0.857 0.515 La
0.258 0.720 0.854 La
0.146 0.742 0.280 La
0.000 0.000 0.000 Tb
0.860 0.618 0.932 Pm
0.382 0.068 0.140 Pm
0.068 0.140 0.382 Pm
0.500 0.500 0.500 Pm
0.932 0.860 0.618 Pm
0.618 0.932 0.860 Pm
0.140 0.382 0.068 Pm
```

Properties
Distance to the lowest polymorph of the same formula in kJ per mole of atoms: 0.5
ΔE_f in meV per atom: 182
Crystal system: trigonal
Space-group type: R-3 (148)

| no. | spin magnetization (μB per formula unit) | Fermi-level density of states (states/eV per cell) |
| --- | --- | --- |
| 1 | 0.00 | 8.0 |
| 2 | 0.00 | 15.9 |
| 3 | 0.00 | 9.1 |
| 4 | 10.00 | 26.4 |
| 5 | 4.33 | 5.1 |
| 6 | 0.00 | 10.4 |
| 7 | 0.00 | 38.4 |